Record 1
Crystalline Ce12Tl3Sn at its relaxed geometry. Source: Alexandria via LeMat-Bulk, functional PBE.

As for the total magnetic moment: 0.75 μB/atom. The formation enthalpy at 0 K is -297.7 kJ/mol of formula units. The theoretical density is 8.99 g cm⁻³.

abc: 4.8163 4.8163 19.2160
angles: 90.00 90.00 90.00
With the nearest neighbours (Å) after each atom.
Element x y z (fractional)
1 Ce 0.0000 0.0000 0.0000  8 Ce 3.37, 4 Sn 3.41
2 Ce 0.0000 0.0000 0.2497  8 Ce 3.40-3.43, 4 Tl 3.41
3 Ce 0.0000 0.0000 0.5000  4 Tl 3.41, 8 Ce 3.41
4 Ce 0.0000 0.0000 0.7503  8 Ce 3.40-3.43, 4 Tl 3.41
5 Ce 0.0000 0.5000 0.1224  8 Ce 3.37-3.43, 2 Sn 3.37, 2 Tl 3.42
6 Ce 0.0000 0.5000 0.3744  8 Ce 3.40-3.41, 4 Tl 3.41
7 Ce 0.0000 0.5000 0.6256  8 Ce 3.40-3.41, 4 Tl 3.41
8 Ce 0.0000 0.5000 0.8776  8 Ce 3.37-3.43, 2 Sn 3.37, 2 Tl 3.42
9 Ce 0.5000 0.0000 0.1224  8 Ce 3.37-3.43, 2 Sn 3.37, 2 Tl 3.42
10 Ce 0.5000 0.0000 0.3744  8 Ce 3.40-3.41, 4 Tl 3.41
11 Ce 0.5000 0.0000 0.6256  8 Ce 3.40-3.41, 4 Tl 3.41
12 Ce 0.5000 0.0000 0.8776  8 Ce 3.37-3.43, 2 Sn 3.37, 2 Tl 3.42
13 Tl 0.5000 0.5000 0.2488  12 Ce 3.41-3.42
14 Tl 0.5000 0.5000 0.5000  12 Ce 3.41
15 Tl 0.5000 0.5000 0.7512  12 Ce 3.41-3.42
16 Sn 0.5000 0.5000 0.0000  12 Ce 3.37-3.41

Record 2
Crystalline Ca5MgCu4 at its relaxed geometry. Source: Alexandria via LeMat-Bulk, functional PBE.

As for the total magnetic moment: 0.00 μB/atom. The formation enthalpy at 0 K is -79.8 kJ/mol of formula units. The theoretical density is 2.95 g cm⁻³.

abc: 9.2965 9.2965 7.6950
angles: 110.34 110.34 25.76
With the nearest neighbours (Å) after each atom.
Element x y z (fractional)
1 Ca 0.0000 0.0000 0.0000  6 Cu 3.11-3.14
2 Ca 0.3103 0.3103 0.9082  4 Cu 2.95-3.15
3 Ca 0.3489 0.3489 0.4639  3 Cu 2.99-3.07
4 Ca 0.6511 0.6511 0.5361  3 Cu 2.99-3.07
5 Ca 0.6897 0.6897 0.0918  4 Cu 2.95-3.15
6 Mg 0.0000 0.0000 0.5000  6 Cu 2.62-2.72
7 Cu 0.1255 0.1255 0.8042  2 Cu 2.53, 1 Mg 2.62
8 Cu 0.4604 0.4604 0.2555  2 Cu 2.53, 2 Mg 2.72
9 Cu 0.5396 0.5396 0.7445  2 Cu 2.53, 2 Mg 2.72
10 Cu 0.8745 0.8745 0.1958  2 Cu 2.53, 1 Mg 2.62

Record 3
Crystalline Cs2NaGaSe at its relaxed geometry. Source: Alexandria via LeMat-Bulk, functional PBE.

As for the total magnetic moment: 0.00 μB/atom. The formation energy without anion corrections is 0.04 eV/atom. The theoretical density is 3.15 g cm⁻³.

abc: 6.4540 6.4540 5.5374
angles: 90.00 90.00 90.00
With the nearest neighbours (Å) after each atom.
Element x y z (fractional)
1 Cs 0.0000 0.5000 0.0000  2 Na 3.23
2 Cs 0.5000 0.0000 0.0000  2 Na 3.23
3 Na 0.0000 0.0000 0.0000  2 Ga 2.77
4 Ga 0.0000 0.0000 0.5000  2 Na 2.77
5 Se 0.5000 0.5000 0.5000  8 Cs 4.25, 4 Ga 4.56

Record 4
Crystalline SnI2OF at its relaxed geometry. Source: Alexandria via LeMat-Bulk, functional PBE.

As for the total magnetic moment: 0.00 μB/atom. The formation energy without anion corrections is 0.34 eV/atom. The offset from the most stable computed form is 0.6165 eV/atom. The theoretical density is 5.81 g cm⁻³.

abc: 5.1904 5.1904 4.3213
angles: 90.00 90.00 90.00
With the nearest neighbours (Å) after each atom.
Element x y z (fractional)
1 Sn 0.0000 0.0000 0.0000  8 I 3.38, 4 O 3.67
2 I 0.0000 0.5000 0.5000  2 F 2.60
3 I 0.5000 0.0000 0.5000  2 F 2.60
4 O 0.5000 0.5000 0.0000  2 F 2.16
5 F 0.5000 0.5000 0.5000  2 O 2.16

Record 5
Crystalline Dy8Ho4Tm3 at its relaxed geometry. Source: Alexandria via LeMat-Bulk, functional PBE.

As for the total magnetic moment: 0.00 μB/atom. The formation enthalpy at 0 K is 588.4 kJ/mol of formula units. The offset from the most stable computed form is 0.2580 eV/atom. The theoretical density is 8.44 g cm⁻³.

abc: 9.1715 9.1715 6.6733
angles: 111.17 111.17 87.74
With the nearest neighbours (Å) after each atom.
Element x y z (fractional)
1 Dy 0.1416 0.8584 0.0000  7 Dy 3.54-3.63, 4 Tm 3.58-3.79, 2 Ho 3.59
2 Dy 0.2307 0.2307 0.4587  3 Ho 3.19-3.43, 4 Dy 3.19-3.54, 1 Tm 3.20
3 Dy 0.2348 0.2348 0.9847  3 Tm 3.17-3.18, 2 Dy 3.19-3.48, 2 Ho 3.46-3.47
4 Dy 0.2484 0.7516 0.5000  3 Tm 3.16-3.32, 3 Ho 3.20-3.31
5 Dy 0.7516 0.2484 0.5000  3 Tm 3.16-3.32, 3 Ho 3.20-3.31
6 Dy 0.7652 0.7652 0.0153  3 Tm 3.17-3.18, 2 Dy 3.19-3.48, 2 Ho 3.46-3.47
7 Dy 0.7693 0.7693 0.5413  3 Ho 3.19-3.43, 4 Dy 3.19-3.54, 1 Tm 3.20
8 Dy 0.8584 0.1416 0.0000  7 Dy 3.54-3.63, 4 Tm 3.58-3.79, 2 Ho 3.59
9 Ho 0.0000 0.5000 0.5000  4 Dy 3.19-3.31, 2 Tm 3.34
10 Ho 0.5000 0.0000 0.5000  4 Dy 3.19-3.31, 2 Tm 3.34
11 Ho 0.5000 0.5000 0.0000  2 Ho 3.34, 4 Dy 3.46-3.58
12 Ho 0.5000 0.5000 0.5000  6 Dy 3.20-3.47, 2 Ho 3.34
13 Tm 0.0000 0.0000 0.5000  6 Dy 3.16-3.20
14 Tm 0.0000 0.5000 0.0000  4 Dy 3.18-3.32, 2 Ho 3.34
15 Tm 0.5000 0.0000 0.0000  4 Dy 3.18-3.32, 2 Ho 3.34

Record 6
Crystalline In12SnBi7 at its relaxed geometry. Source: Alexandria via LeMat-Bulk, functional PBE.

As for the total magnetic moment: 0.00 μB/atom. The formation enthalpy at 0 K is 136.8 kJ/mol of formula units. The theoretical density is 8.04 g cm⁻³.

abc: 9.0529 9.0529 9.0529
angles: 107.40 107.40 107.40
With the nearest neighbours (Å) after each atom.
Element x y z (fractional)
1 In 0.0875 0.1991 0.4764  4 In 3.25-3.56, 4 Bi 3.35-3.52
2 In 0.1138 0.8314 0.2666  6 In 3.25-3.56, 3 Bi 3.30-3.32
3 In 0.1686 0.7334 0.8862  6 In 3.25-3.56, 3 Bi 3.30-3.32
4 In 0.1991 0.4764 0.0875  4 In 3.25-3.56, 4 Bi 3.35-3.52
5 In 0.2666 0.1138 0.8314  6 In 3.25-3.56, 3 Bi 3.30-3.32
6 In 0.4764 0.0875 0.1991  4 In 3.25-3.56, 4 Bi 3.35-3.52
7 In 0.5236 0.9125 0.8009  4 In 3.25-3.56, 4 Bi 3.35-3.52
8 In 0.7334 0.8862 0.1686  6 In 3.25-3.56, 3 Bi 3.30-3.32
9 In 0.8009 0.5236 0.9125  4 In 3.25-3.56, 4 Bi 3.35-3.52
10 In 0.8314 0.2666 0.1138  6 In 3.25-3.56, 3 Bi 3.30-3.32
11 In 0.8862 0.1686 0.7334  6 In 3.25-3.56, 3 Bi 3.30-3.32
12 In 0.9125 0.8009 0.5236  4 In 3.25-3.56, 4 Bi 3.35-3.52
13 Sn 0.5000 0.5000 0.5000  6 Bi 3.26
14 Bi 0.0000 0.0000 0.0000  6 In 3.30
15 Bi 0.1650 0.5795 0.4597  1 Sn 3.26, 6 In 3.30-3.52, 1 Bi 3.30
16 Bi 0.4205 0.5403 0.8350  1 Sn 3.26, 6 In 3.30-3.52, 1 Bi 3.30
17 Bi 0.4597 0.1650 0.5795  1 Sn 3.26, 6 In 3.30-3.52, 1 Bi 3.30
18 Bi 0.5403 0.8350 0.4205  1 Sn 3.26, 6 In 3.30-3.52, 1 Bi 3.30
19 Bi 0.5795 0.4597 0.1650  1 Sn 3.26, 6 In 3.30-3.52, 1 Bi 3.30
20 Bi 0.8350 0.4205 0.5403  1 Sn 3.26, 6 In 3.30-3.52, 1 Bi 3.30

Record 7
Crystalline CrTcPb2 at its relaxed geometry. Source: Alexandria via LeMat-Bulk, functional PBE.

As for the total magnetic moment: 0.18 μB/atom. The formation enthalpy at 0 K is 126.0 kJ/mol of formula units. The offset from the most stable computed form is 0.0000 eV/atom. The theoretical density is 10.88 g cm⁻³.

abc: 3.1686 3.1686 8.5776
angles: 90.00 90.00 90.00
With the nearest neighbours (Å) after each atom.
Element x y z (fractional)
1 Cr 0.0000 0.0000 0.0000  4 Tc 2.50
2 Tc 0.5000 0.5000 0.8715  4 Cr 2.50
3 Pb 0.0000 0.0000 0.6226  4 Tc 3.09, 4 Pb 3.17, 1 Cr 3.24
4 Pb 0.5000 0.5000 0.2394  4 Cr 3.04, 1 Tc 3.16, 4 Pb 3.17

Record 8
Crystalline CsSbAs2Se at its relaxed geometry. Source: Alexandria via LeMat-Bulk, functional PBE.

As for the total magnetic moment: 0.36 μB/atom. The formation energy without anion corrections is 0.19 eV/atom. The offset from the most stable computed form is 0.0000 eV/atom. The theoretical density is 4.72 g cm⁻³.

abc: 5.4694 5.4694 5.6817
angles: 90.00 90.00 90.00
With the nearest neighbours (Å) after each atom.
Element x y z (fractional)
1 Cs 0.0000 0.0000 0.0000  4 Se 3.87, 8 As 3.94
2 Sb 0.5000 0.5000 0.5000  4 As 2.73, 2 Se 2.84
3 As 0.0000 0.5000 0.5000  2 Sb 2.73
4 As 0.5000 0.0000 0.5000  2 Sb 2.73
5 Se 0.5000 0.5000 0.0000  2 Sb 2.84

Record 9
Crystalline LaPr3Th2As6 at its relaxed geometry. Source: Alexandria via LeMat-Bulk, functional PBE.

As for the total magnetic moment: 0.00 μB/atom. The formation enthalpy at 0 K is -1745.7 kJ/mol of formula units. The theoretical density is 7.27 g cm⁻³.

abc: 7.4541 7.4541 7.4334
angles: 99.61 99.61 120.05
With the nearest neighbours (Å) after each atom.
Element x y z (fractional)
1 La 0.0000 0.0000 0.0000  6 As 3.05-3.06
2 Pr 0.1653 0.8347 0.5000  6 As 3.04-3.07
3 Pr 0.5000 0.5000 0.5000  6 As 3.02-3.07
4 Pr 0.8347 0.1653 0.5000  6 As 3.04-3.07
5 Th 0.3330 0.6670 0.0000  6 As 3.01
6 Th 0.6670 0.3330 0.0000  6 As 3.01
7 As 0.0822 0.4206 0.2462  2 Th 3.01, 3 Pr 3.04-3.07, 1 La 3.06
8 As 0.2567 0.2567 0.7543  2 Th 3.01, 3 Pr 3.02-3.06, 1 La 3.05
9 As 0.4206 0.0822 0.2462  2 Th 3.01, 3 Pr 3.04-3.07, 1 La 3.06
10 As 0.5794 0.9178 0.7538  2 Th 3.01, 3 Pr 3.04-3.07, 1 La 3.06
11 As 0.7433 0.7433 0.2457  2 Th 3.01, 3 Pr 3.02-3.06, 1 La 3.05
12 As 0.9178 0.5794 0.7538  2 Th 3.01, 3 Pr 3.04-3.07, 1 La 3.06

Record 10
Crystalline TlCdCu2W at its relaxed geometry. Source: Alexandria via LeMat-Bulk, functional PBE.

As for the total magnetic moment: 0.00 μB/atom. The formation enthalpy at 0 K is 742.1 kJ/mol of formula units. The theoretical density is 9.29 g cm⁻³.

abc: 4.6534 4.6534 5.1819
angles: 90.00 90.00 90.00
With the nearest neighbours (Å) after each atom.
Element x y z (fractional)
1 Tl 0.0000 0.0000 0.0000  4 W 3.29, 8 Cu 3.48
2 Cd 0.5000 0.5000 0.5000  4 Cu 2.33, 2 W 2.59
3 Cu 0.0000 0.5000 0.5000  2 Cd 2.33
4 Cu 0.5000 0.0000 0.5000  2 Cd 2.33
5 W 0.5000 0.5000 0.0000  2 Cd 2.59

Record 11
Crystalline Ba2TlOs at its relaxed geometry. Source: Alexandria via LeMat-Bulk, functional PBE.

As for the total magnetic moment: 0.00 μB/atom. The formation enthalpy at 0 K is 209.1 kJ/mol of formula units. The offset from the most stable computed form is 0.2346 eV/atom. The theoretical density is 8.79 g cm⁻³.

abc: 7.9675 7.9675 7.9675
angles: 90.00 90.00 90.00
With the nearest neighbours (Å) after each atom.
Element x y z (fractional)
1 Ba 0.2500 0.2500 0.2500  4 Tl 3.45, 4 Os 3.45
2 Ba 0.2500 0.2500 0.7500  4 Tl 3.45, 4 Os 3.45
3 Ba 0.2500 0.7500 0.2500  4 Tl 3.45, 4 Os 3.45
4 Ba 0.2500 0.7500 0.7500  4 Tl 3.45, 4 Os 3.45
5 Ba 0.7500 0.2500 0.2500  4 Tl 3.45, 4 Os 3.45
6 Ba 0.7500 0.2500 0.7500  4 Tl 3.45, 4 Os 3.45
7 Ba 0.7500 0.7500 0.2500  4 Tl 3.45, 4 Os 3.45
8 Ba 0.7500 0.7500 0.7500  4 Tl 3.45, 4 Os 3.45
9 Tl 0.0000 0.0000 0.0000  8 Ba 3.45
10 Tl 0.0000 0.5000 0.5000  8 Ba 3.45
11 Tl 0.5000 0.0000 0.5000  8 Ba 3.45
12 Tl 0.5000 0.5000 0.0000  8 Ba 3.45
13 Os 0.0000 0.0000 0.5000  8 Ba 3.45
14 Os 0.0000 0.5000 0.0000  8 Ba 3.45
15 Os 0.5000 0.0000 0.0000  8 Ba 3.45
16 Os 0.5000 0.5000 0.5000  8 Ba 3.45

Record 12
Crystalline Ac3Tl3Cu2 at its relaxed geometry. Source: Alexandria via LeMat-Bulk, functional PBE.

As for the total magnetic moment: 0.00 μB/atom. The formation enthalpy at 0 K is -119.0 kJ/mol of formula units. The theoretical density is 9.68 g cm⁻³.

abc: 4.1477 5.4117 11.1646
angles: 82.01 79.31 89.98
With the nearest neighbours (Å) after each atom.
Element x y z (fractional)
1 Ac 0.0000 0.0000 0.0000  4 Tl 3.41
2 Ac 0.1372 0.5904 0.7255  3 Cu 3.08-3.09
3 Ac 0.8628 0.4096 0.2745  3 Cu 3.08-3.09
4 Tl 0.3174 0.9033 0.3648  4 Cu 2.88-3.06
5 Tl 0.5000 0.5000 0.0000  8 Ac 3.41-3.63
6 Tl 0.6826 0.0967 0.6352  4 Cu 2.88-3.06
7 Cu 0.2568 0.3568 0.4855  2 Cu 2.63-2.64, 2 Tl 2.88-2.89
8 Cu 0.7432 0.6432 0.5145  2 Cu 2.63-2.64, 2 Tl 2.88-2.89